(1)
A plane-wave DFT calculation with PBE-GGA was carried out for a geometry-optimized RbPmTe3 structure.

```
RbPmTe3
1.0
-2.791 -6.344 2.547
5.442 -3.233 -2.090
7.178 2.681 14.544
Te Rb Pm
12 4 4
direct
0.500 0.750 0.505
0.750 0.459 0.210
0.000 0.250 0.495
0.500 0.250 0.495
0.250 0.541 0.790
0.750 0.878 0.066
0.000 0.750 0.505
0.250 0.122 0.934
0.250 0.622 0.066
0.750 0.959 0.790
0.750 0.378 0.934
0.250 0.041 0.210
0.250 0.531 0.318
0.750 0.969 0.318
0.250 0.031 0.682
0.750 0.469 0.682
0.000 0.250 0.086
0.500 0.250 0.086
0.500 0.750 0.914
0.000 0.750 0.914
```

Calculated values
As for the total magnetization: 0.000 μB/atom. The value obtained for the formation energy without anion corrections is -929 meV/atom. The value obtained for the theoretical density is 5.03 g/cm3.


(2)
A plane-wave DFT calculation with PBE-GGA was carried out for a geometry-optimized Ba2CuPdN structure.

```
Ba2CuPdN
1.0
-0.714 5.487 -1.416
-2.563 0.960 5.013
3.503 0.875 1.623
Ba N Cu Pd
2 1 1 1
direct
0.000 0.500 0.000
0.500 0.000 0.000
0.000 0.000 0.000
0.500 0.500 0.500
0.000 0.000 0.500
```

Calculated values
As for the total magnetization: 0.000 μB/atom. The value obtained for the formation energy without anion corrections is -222 meV/atom. The value obtained for the theoretical density is 5.90 g/cm3.


(3)
A plane-wave DFT calculation with PBE-GGA was carried out for a geometry-optimized Pa6AsSe12 structure.

```
Pa6AsSe12
1.0
7.963 0.214 1.641
1.380 7.846 1.641
0.248 0.214 8.127
Se Pa As
12 6 1
direct
0.535 0.185 0.535
0.185 0.535 0.535
0.569 0.108 0.108
0.465 0.465 0.815
0.815 0.465 0.465
0.892 0.892 0.431
0.108 0.569 0.108
0.108 0.108 0.569
0.535 0.535 0.185
0.431 0.892 0.892
0.892 0.431 0.892
0.465 0.815 0.465
0.243 0.243 0.794
0.757 0.757 0.206
0.243 0.794 0.243
0.794 0.243 0.243
0.206 0.757 0.757
0.757 0.206 0.757
0.000 0.000 0.000
```

Calculated values
As for the total magnetization: 0.107 μB/atom. The value obtained for the formation energy without anion corrections is -1120 meV/atom. The value obtained for the theoretical density is 8.00 g/cm3.


Look up the theoretical density of the first one. 5.03 g/cm3


The highest formation energy without anion corrections belongs to which entry? Ba2CuPdN


Among the records above, which one has the highest theoretical density? Pa6AsSe12


The lowest theoretical density belongs to which entry? RbPmTe3